Material: MnFeP2O
Method: DFT, PBE+U
State: optimized geometry

The density is 3.8 g/cm³. The offset from the most stable computed form is 0.0000 eV per atom.

The structure belongs to space group P4/mmm (No. 123); the cell edges are 4.808, 4.808 and 3.567 Å and the angles 90.00°, 90.00° and 90.00°. Symmetry generates all atoms from Mn at (0.000, 0.000, 0.000), Fe at (0.500, 0.500, 0.500), P at (0.000, 0.500, 0.500) and O at (0.500, 0.500, 0.000).